Entry 1:
Here is an optimized crystal structure of NiSnHgPb2 from the Alexandria database. Energies are from PBE.

```
data_NiSnHgPb2
_cell_length_a 5.230
_cell_length_b 5.230
_cell_length_c 4.987
_cell_angle_alpha 90.00
_cell_angle_beta 90.00
_cell_angle_gamma 90.00
_space_group_name_H-M_alt 'P 4/m m m'
_space_group_IT_number 123
_space_group_name_Hall '-P 4 2'
loop_
_atom_site_label
_atom_site_type_symbol
_atom_site_fract_x
_atom_site_fract_y
_atom_site_fract_z
Ni1 Ni 0.000 0.000 0.000
Sn1 Sn 0.000 0.000 0.500
Hg1 Hg 0.500 0.500 0.500
Pb1 Pb 0.000 0.500 0.000
```

The calculated formation energy is 0.09 eV/atom.

=====

Entry 2:
Here is an optimized crystal structure of NiSnHg2Pb from the Alexandria database. Energies are from PBE.

```
data_NiSnHg2Pb
_cell_length_a 5.109
_cell_length_b 5.109
_cell_length_c 4.883
_cell_angle_alpha 90.00
_cell_angle_beta 90.00
_cell_angle_gamma 90.00
_space_group_name_H-M_alt 'P 4/m m m'
_space_group_IT_number 123
_space_group_name_Hall '-P 4 2'
loop_
_atom_site_label
_atom_site_type_symbol
_atom_site_fract_x
_atom_site_fract_y
_atom_site_fract_z
Ni1 Ni 0.000 0.000 0.000
Sn1 Sn 0.000 0.000 0.500
Hg1 Hg 0.000 0.500 0.000
Pb1 Pb 0.500 0.500 0.500
```

The calculated formation energy is 0.12 eV/atom.

=====

Entry 3:
Here is an optimized crystal structure of Sr2NiHgPb from the Alexandria database. Energies are from PBE.

```
data_Sr2NiHgPb
_cell_length_a 5.814
_cell_length_b 5.814
_cell_length_c 4.889
_cell_angle_alpha 90.00
_cell_angle_beta 90.00
_cell_angle_gamma 90.00
_space_group_name_H-M_alt 'P 4/m m m'
_space_group_IT_number 123
_space_group_name_Hall '-P 4 2'
loop_
_atom_site_label
_atom_site_type_symbol
_atom_site_fract_x
_atom_site_fract_y
_atom_site_fract_z
Sr1 Sr 0.000 0.500 0.000
Ni1 Ni 0.000 0.000 0.000
Hg1 Hg 0.500 0.500 0.500
Pb1 Pb 0.000 0.000 0.500
```

The calculated formation energy is -0.28 eV/atom.

=====

Entry 4:
Here is an optimized crystal structure of NiHgTePb2 from the Alexandria database. Energies are from PBE.

```
data_NiHgTePb2
_cell_length_a 5.234
_cell_length_b 5.234
_cell_length_c 5.033
_cell_angle_alpha 90.00
_cell_angle_beta 90.00
_cell_angle_gamma 90.00
_space_group_name_H-M_alt 'P 4/m m m'
_space_group_IT_number 123
_space_group_name_Hall '-P 4 2'
loop_
_atom_site_label
_atom_site_type_symbol
_atom_site_fract_x
_atom_site_fract_y
_atom_site_fract_z
Ni1 Ni 0.000 0.000 0.000
Hg1 Hg 0.000 0.000 0.500
Te1 Te 0.500 0.500 0.500
Pb1 Pb 0.000 0.500 0.000
```

Its raw formation energy is -0.010 eV per atom.

=====

Entry 5:
Here is an optimized crystal structure of TlNiHg2Pb from the Alexandria database. Energies are from PBE.

```
data_TlNiHg2Pb
_cell_length_a 5.100
_cell_length_b 5.100
_cell_length_c 5.014
_cell_angle_alpha 90.00
_cell_angle_beta 90.00
_cell_angle_gamma 90.00
_space_group_name_H-M_alt 'P 4/m m m'
_space_group_IT_number 123
_space_group_name_Hall '-P 4 2'
loop_
_atom_site_label
_atom_site_type_symbol
_atom_site_fract_x
_atom_site_fract_y
_atom_site_fract_z
Tl1 Tl 0.000 0.000 0.000
Ni1 Ni 0.000 0.000 0.500
Hg1 Hg 0.000 0.500 0.500
Pb1 Pb 0.500 0.500 0.000
```

The energy relative to the lowest polymorph listed for this composition comes out at 84 meV/atom. The calculated formation energy is 0.17 eV/atom.

=====

Entry 6:
Here is an optimized crystal structure of TlNiHgPb2 from the Alexandria database. Energies are from PBE.

```
data_TlNiHgPb2
_cell_length_a 5.173
_cell_length_b 5.173
_cell_length_c 5.164
_cell_angle_alpha 90.00
_cell_angle_beta 90.00
_cell_angle_gamma 90.00
_space_group_name_H-M_alt 'P 4/m m m'
_space_group_IT_number 123
_space_group_name_Hall '-P 4 2'
loop_
_atom_site_label
_atom_site_type_symbol
_atom_site_fract_x
_atom_site_fract_y
_atom_site_fract_z
Tl1 Tl 0.000 0.000 0.000
Ni1 Ni 0.500 0.500 0.500
Hg1 Hg 0.500 0.500 0.000
Pb1 Pb 0.000 0.500 0.500
```

The calculated formation energy is 0.10 eV/atom.

=====

Entry 7:
Here is an optimized crystal structure of TlNiHg2Pb from the Alexandria database. Energies are from PBE.

```
data_TlNiHg2Pb
_cell_length_a 5.158
_cell_length_b 5.158
_cell_length_c 5.040
_cell_angle_alpha 90.00
_cell_angle_beta 90.00
_cell_angle_gamma 90.00
_space_group_name_H-M_alt 'P 4/m m m'
_space_group_IT_number 123
_space_group_name_Hall '-P 4 2'
loop_
_atom_site_label
_atom_site_type_symbol
_atom_site_fract_x
_atom_site_fract_y
_atom_site_fract_z
Tl1 Tl 0.000 0.000 0.000
Ni1 Ni 0.500 0.500 0.500
Hg1 Hg 0.000 0.500 0.500
Pb1 Pb 0.500 0.500 0.000
```

The energy relative to the lowest polymorph listed for this composition comes out at 0 meV/atom. The calculated formation energy is 0.08 eV/atom.

=====

Entry 8:
Here is an optimized crystal structure of TlNiHgPb2 from the Alexandria database. Energies are from PBE.

```
data_TlNiHgPb2
_cell_length_a 5.202
_cell_length_b 5.202
_cell_length_c 5.158
_cell_angle_alpha 90.00
_cell_angle_beta 90.00
_cell_angle_gamma 90.00
_space_group_name_H-M_alt 'P 4/m m m'
_space_group_IT_number 123
_space_group_name_Hall '-P 4 2'
loop_
_atom_site_label
_atom_site_type_symbol
_atom_site_fract_x
_atom_site_fract_y
_atom_site_fract_z
Tl1 Tl 0.000 0.000 0.000
Ni1 Ni 0.000 0.000 0.500
Hg1 Hg 0.500 0.500 0.000
Pb1 Pb 0.000 0.500 0.500
```

The calculated formation energy is 0.10 eV/atom.

=====

Entry 9:
Here is an optimized crystal structure of ZrNi2HgPb from the Alexandria database. Energies are from PBE.

```
data_ZrNi2HgPb
_cell_length_a 4.733
_cell_length_b 4.733
_cell_length_c 5.569
_cell_angle_alpha 90.00
_cell_angle_beta 90.00
_cell_angle_gamma 90.00
_space_group_name_H-M_alt 'P 4/m m m'
_space_group_IT_number 123
_space_group_name_Hall '-P 4 2'
loop_
_atom_site_label
_atom_site_type_symbol
_atom_site_fract_x
_atom_site_fract_y
_atom_site_fract_z
Zr1 Zr 0.000 0.000 0.000
Ni1 Ni 0.000 0.500 0.000
Hg1 Hg 0.000 0.000 0.500
Pb1 Pb 0.500 0.500 0.500
```

The calculated formation energy is 0.83 eV/atom.

=====

Entry 10:
Here is an optimized crystal structure of NiHgPd2 from the Alexandria database. Energies are from PBE.

```
data_NiHgPd2
_cell_length_a 3.820
_cell_length_b 3.820
_cell_length_c 18.794
_cell_angle_alpha 90.00
_cell_angle_beta 90.00
_cell_angle_gamma 90.00
_space_group_name_H-M_alt 'I -4 2 d'
_space_group_IT_number 122
_space_group_name_Hall 'I -4 2bw'
loop_
_atom_site_label
_atom_site_type_symbol
_atom_site_fract_x
_atom_site_fract_y
_atom_site_fract_z
Ni1 Ni 0.000 0.000 0.000
Hg1 Hg 0.000 0.000 0.500
Pd1 Pd 0.238 0.250 0.125
```

The calculated formation energy is 0.30 eV/atom.

=====

Entry 11:
Here is an optimized crystal structure of NiHg2Pd from the Alexandria database. Energies are from PBE.

```
data_NiHg2Pd
_cell_length_a 2.9752
_cell_length_b 2.9752
_cell_length_c 29.4844
_cell_angle_alpha 90.00
_cell_angle_beta 90.00
_cell_angle_gamma 120.00
_space_group_name_H-M_alt 'R -3 m'
_space_group_IT_number 166
_space_group_name_Hall '-R 3 2"'
loop_
_atom_site_label
_atom_site_type_symbol
_atom_site_fract_x
_atom_site_fract_y
_atom_site_fract_z
Ni1 Ni 0.0000 0.0000 0.0000
Hg1 Hg 0.0000 0.0000 0.0875
Pd1 Pd 0.0000 0.0000 0.5000
```

The energy relative to the lowest polymorph listed for this composition comes out at 315 meV/atom. The calculated formation energy is 0.36 eV/atom.

=====

Entry 12:
Here is an optimized crystal structure of NiHg2Pd from the Alexandria database. Energies are from PBE.

```
data_NiHg2Pd
_cell_length_a 7.293
_cell_length_b 7.293
_cell_length_c 5.664
_cell_angle_alpha 90.00
_cell_angle_beta 90.00
_cell_angle_gamma 90.00
_space_group_name_H-M_alt 'I -4 2 d'
_space_group_IT_number 122
_space_group_name_Hall 'I -4 2bw'
loop_
_atom_site_label
_atom_site_type_symbol
_atom_site_fract_x
_atom_site_fract_y
_atom_site_fract_z
Ni1 Ni 0.000 0.000 0.000
Hg1 Hg 0.229 0.250 0.125
Pd1 Pd 0.000 0.000 0.500
```

The energy relative to the lowest polymorph listed for this composition comes out at 242 meV/atom. The calculated formation energy is 0.28 eV/atom.

=====

Total energy (eV/atom)
-3.412; -2.702; -2.908; -3.338; -2.323; -3.075; -2.407; -3.076; -3.991; -3.821; -2.537; -2.610
Calculated volume (Å³/atom)
27.3; 25.5; 33.1; 27.6; 26.1; 27.6; 26.8; 27.9; 24.9; 17.1; 18.8; 18.8